Compound: Cs2K2TeO5
Source: the Alexandria database
Functional: GGA-PBEsol
Structure: relaxed

abc: 9.1363 9.1363 9.5645
angles: 90.00 90.00 90.00
Fractional positions:
Te (0.1911, 0.8089, 0.5000)
O (0.1628, 0.1628, 0.0000)
Cs (0.6651, 0.6651, 0.5000)
K (0.3752, 0.6248, 0.2162)
O (0.7286, 0.9981, 0.5000)
Te (0.6911, 0.6911, 0.0000)
K (0.6248, 0.3752, 0.7838)
K (0.8752, 0.8752, 0.7162)
Cs (0.8349, 0.1651, 0.0000)
O (0.8223, 0.1777, 0.2977)
O (0.0019, 0.2714, 0.5000)
O (0.3372, 0.6628, 0.5000)
O (0.9981, 0.7286, 0.5000)
K (0.6248, 0.3752, 0.2162)
O (0.2714, 0.0019, 0.5000)
O (0.6777, 0.6777, 0.2023)
O (0.4981, 0.7714, 0.0000)
Te (0.8089, 0.1911, 0.5000)
O (0.8372, 0.8372, 0.0000)
Cs (0.0000, 0.5000, 0.2500)
Te (0.3089, 0.3089, 0.0000)
Cs (0.1651, 0.8349, 0.0000)
O (0.3223, 0.3223, 0.7977)
O (0.6777, 0.6777, 0.7977)
O (0.1777, 0.8223, 0.7023)
Cs (0.0000, 0.5000, 0.7500)
O (0.3223, 0.3223, 0.2023)
O (0.7714, 0.4981, 0.0000)
K (0.1248, 0.1248, 0.2838)
O (0.5019, 0.2286, 0.0000)
O (0.6628, 0.3372, 0.5000)
O (0.8223, 0.1777, 0.7023)
Cs (0.3349, 0.3349, 0.5000)
K (0.8752, 0.8752, 0.2838)
Cs (0.5000, 0.0000, 0.7500)
K (0.3752, 0.6248, 0.7838)
Cs (0.5000, 0.0000, 0.2500)
O (0.2286, 0.5019, 0.0000)
K (0.1248, 0.1248, 0.7162)
O (0.1777, 0.8223, 0.2977)

Values from the calculation:
mass density = 4589 kg/m3
ΔE_f (raw) = -1431 kJ/mol of formula units
symmetry = No. 136